[1]
! PBEsol BaCdOs2, optimized geometry; values from VASP
&SYSTEM
  ibrav = 0, nat = 4, ntyp = 3
/
ATOMIC_SPECIES
Os 190.23 Os.upf
Cd 112.41 Cd.upf
Ba 137.33 Ba.upf
ATOMIC_POSITIONS crystal
Os 0.0000 0.0000 0.5000
Os 0.0000 0.5000 0.0000
Cd 0.5000 0.5000 0.5000
Ba 0.5000 0.0000 0.0000
CELL_PARAMETERS angstrom
-1.3296 2.3448 0.5278
-1.9825 0.0645 -5.2804
-3.3677 -2.7230 3.6140
! DOS(E_F): 1.05 states/eV/atom
! energy relative to the elements: 132.93 kJ per mole of atoms

[2]
! PBEsol BaCdOs2S, optimized geometry; values from VASP
&SYSTEM
  ibrav = 0, nat = 5, ntyp = 4
/
ATOMIC_SPECIES
Cd 112.41 Cd.upf
Os 190.23 Os.upf
Ba 137.33 Ba.upf
S 32.06 S.upf
ATOMIC_POSITIONS crystal
Cd 0.0000 0.0000 0.0000
Os 0.0000 0.5000 0.0000
Os 0.5000 0.0000 0.0000
Ba 0.5000 0.5000 0.5000
S 0.0000 0.0000 0.5000
CELL_PARAMETERS angstrom
5.0108 0.0000 0.0000
0.0000 5.0108 0.0000
0.0000 0.0000 5.1349
! DOS(E_F): 1.11 states/eV/atom
! uncorrected formation energy: 818 kJ/mol of formula units

[3]
! PBEsol BaCdP, optimized geometry; values from VASP
&SYSTEM
  ibrav = 0, nat = 3, ntyp = 3
/
ATOMIC_SPECIES
Ba 137.33 Ba.upf
P 30.97 P.upf
Cd 112.41 Cd.upf
ATOMIC_POSITIONS crystal
Ba 0.0037 0.0037 0.0074
P 0.7016 0.7016 0.4031
Cd 0.2947 0.2947 0.5894
CELL_PARAMETERS angstrom
-3.7047 0.3173 0.4897
-0.2664 -3.7199 0.3954
2.7621 2.2335 5.0879
! DOS(E_F): 0.81 states/eV/atom
! energy relative to the elements: -26.20 kJ per mole of atoms
! E above lowest polymorph: 436.7 meV/atom

[4]
! PBEsol BaCdP2, optimized geometry; values from VASP
&SYSTEM
  ibrav = 0, nat = 4, ntyp = 3
/
ATOMIC_SPECIES
P 30.97 P.upf
Cd 112.41 Cd.upf
Ba 137.33 Ba.upf
ATOMIC_POSITIONS crystal
P 0.0401 0.0348 0.0803
P 0.6861 0.1578 0.3722
Cd 0.2866 0.8177 0.5732
Ba 0.4872 0.4896 0.9743
CELL_PARAMETERS angstrom
-2.0340 -2.4871 1.7091
0.7482 -3.4799 -4.1735
4.6703 0.9610 3.0821
! DOS(E_F): 0.29 states/eV/atom
! energy relative to the elements: -29.81 kJ per mole of atoms